5
Lattice="5.053 0.000 0.000 0.000 5.053 0.000 0.000 0.000 5.226" Properties=species:S:1:pos:R:3 comment="TcHgIrSe2 PBE optimized geometry" crystal_system=tetragonal formation_energy_uncorrected_kcal_per_mol_atoms=48.07 pbc="T T T"
Tc 0.000 0.000 0.000
Hg 0.000 0.000 2.613
Ir 2.527 2.527 0.000
Se 0.000 2.527 2.613
Se 2.527 0.000 2.613

=====

4
Lattice="1.435 0.829 9.591 -1.435 0.829 9.591 0.000 -1.657 9.591" Properties=species:S:1:pos:R:3 comment="Ta2AgIr PBE optimized geometry" crystal_system=trigonal energy_ev_per_atom=-8.812 pbc="T T T"
Ta 0.000 0.000 7.057
Ta 0.000 0.000 21.717
Ag 0.000 0.000 0.000
Ir 0.000 0.000 14.387